# Ca2Ac4Pr

A relaxed structure of Ca2Ac4Pr (PBE-GGA, Alexandria).

Lattice parameters (Å, degrees): 7.7959 7.7959 6.4866 90.00 90.00 128.26
With the nearest neighbours (Å) after each atom.
Fractional coordinates of all 7 atoms:
Ca 0.1075 0.8925 0.0000  1 Ca 3.02
Ca 0.8925 0.1075 0.0000  1 Ca 3.02
Ac 0.1966 0.8034 0.5000  2 Ca 3.48, 2 Ac 3.72
Ac 0.3606 0.6394 0.0000  3 Ca 3.43-3.55, 2 Pr 3.79
Ac 0.6394 0.3606 0.0000  3 Ca 3.43-3.55, 2 Pr 3.79
Ac 0.8034 0.1966 0.5000  2 Ca 3.48, 2 Ac 3.72
Pr 0.5000 0.5000 0.5000  4 Ac 3.79

Calculated values
Spin magnetization   0.0 μB per formula unit
DFT formation energy   0.44 eV/atom
SG   Cmmm, No. 65
Density   6.1 g/cm3

***

# CaAcPr

A relaxed structure of CaAcPr (PBE-GGA, Alexandria).

Lattice parameters (Å, degrees): 17.7430 17.7430 17.7430 167.68 167.68 17.46
With the nearest neighbours (Å) after each atom.
Fractional coordinates of all 6 atoms:
Ca 0.0524 0.0524 0.0000  5 Ca 3.68-3.81, 4 Ac 3.97
Ca 0.9476 0.9476 0.0000  5 Ca 3.68-3.81, 4 Ac 3.97
Ac 0.3644 0.3644 0.0000  4 Ac 3.81, 4 Pr 3.83, 4 Ca 3.97
Ac 0.6356 0.6356 0.0000  4 Ac 3.81, 4 Pr 3.83, 4 Ca 3.97
Pr 0.2132 0.2132 0.0000  8 Pr 3.73-3.81, 4 Ac 3.83
Pr 0.7868 0.7868 0.0000  8 Pr 3.73-3.81, 4 Ac 3.83

Calculated values
Energy relative to the lowest polymorph listed for this composition   0.0646 eV per atom
Spin magnetization   0.0 μB per formula unit
DFT formation energy   0.09 eV/atom
SG   I4/mmm, No. 139
Density   5.3 g/cm3